Here is a relaxed structure of CdBiPt2 from Alexandria. Energies are from PBE.

```
CdBiPt2
1.0
6.4414 0.0000 0.0000
0.0000 6.4414 0.0000
3.2207 3.2207 5.6246
Bi Pt Cd
2 4 2
Cartesian
0.0000 0.0000 0.0000
6.4414 3.2207 2.8123
4.8631 1.6103 1.4062
1.5782 4.8310 1.4062
4.8310 4.7989 4.2185
8.0517 8.0838 4.2185
3.2207 3.2207 0.0000
3.2207 6.4414 2.8123
```

E_form in eV per formula unit: 1.0

Here is a relaxed structure of Y4AlHg from Alexandria. Energies are from PBE.

```
Y4AlHg
1.0
5.0605 0.0001 -0.0018
-0.0001 5.0612 -0.0025
0.0033 0.0051 7.2570
Y Al Hg
4 1 1
Cartesian
2.5373 5.0478 1.7901
2.5395 5.0522 5.4327
0.0094 2.5213 5.4349
0.0069 2.5175 1.7927
2.5401 2.5219 7.2410
0.0081 5.0500 3.6130
```

Distance to the lowest polymorph of the same formula in eV per atom: 0.000
E_form in eV per formula unit: -0.6

Here is a relaxed structure of BaOs2Se from Alexandria. Energies are from PBE.

```
BaOs2Se
1.0
3.7793 0.0000 0.0000
0.0000 4.3114 -0.0633
0.0000 1.6725 6.2000
Ba Os Se
1 2 1
Cartesian
1.8896 4.8553 4.4682
0.0000 4.3453 0.8858
1.8896 1.4203 1.1438
0.0000 2.6661 2.6441
```

Calculated total energy in eV for the cell shown: -27.1

Here is a relaxed structure of InTcRh2 from Alexandria. Energies are from PBE.

```
InTcRh2
1.0
-0.0488 -1.0351 4.6671
2.5784 -3.4110 -2.1384
2.3585 1.5503 0.3693
In Rh Tc
1 2 1
Cartesian
2.4685 -0.9303 -0.8846
0.0000 0.0000 0.0000
1.2648 -2.2230 1.2643
1.1548 0.2576 2.5182
```

E_form in eV per formula unit: -0.1

Here is a relaxed structure of Ce2DyPuN4 from Alexandria. Energies are from PBE.

```
Ce2DyPuN4
1.0
-2.5211 0.8084 -2.3331
-3.4868 -4.4742 2.2175
-1.1459 5.1764 3.0320
Ce Dy Pu N
2 1 1 4
Cartesian
-1.8335 2.9924 0.3494
-2.3164 0.3511 2.6247
-3.0040 -1.8329 -0.0578
0.0000 0.0000 0.0000
-2.3865 0.5532 0.1017
-4.7675 0.9575 2.8147
-1.7338 2.7898 2.8402
-2.8990 -2.0876 2.4093
```

Calculated total energy in eV for the cell shown: -75.9

Here is a relaxed structure of La2ZnNi from Alexandria. Energies are from PBE.

```
La2ZnNi
1.0
4.5470 0.0000 0.0000
0.0000 3.9567 0.0945
0.0000 1.9563 5.7388
Ni Zn La
1 1 2
Cartesian
0.0000 3.7018 3.0219
2.2735 3.6805 4.3847
0.0000 5.6507 5.1913
2.2735 1.7493 1.9855
```

E_form in eV per formula unit: -1.1

Here is a relaxed structure of PrThBi from Alexandria. Energies are from PBE.

```
PrThBi
1.0
-1.5351 -0.0952 -3.9075
3.5712 -1.7407 -1.3606
-3.1176 -4.1305 3.5819
Pr Bi Th
1 1 1
Cartesian
-0.8142 -5.3236 -1.8069
-1.1889 -2.8588 0.5367
0.4699 -2.2358 -2.3866
```

E_form in eV per formula unit: -1.1

Here is a relaxed structure of CaHf2GeN from Alexandria. Energies are from PBE.

```
CaHf2GeN
1.0
5.3973 0.0000 0.0000
0.0000 5.3973 0.0000
0.0000 0.0000 3.8537
Ge Hf Ca N
1 2 1 1
Cartesian
0.0000 0.0000 0.0000
0.0000 2.6987 0.0000
2.6987 0.0000 0.0000
2.6987 2.6987 1.9269
0.0000 0.0000 1.9269
```

Calculated total energy in eV for the cell shown: -29.8

The evaluated V for the records listed, in turn: 29.17, 30.98, 25.36, 15.58, 15.46, 25.60, 32.62, 22.45 Å³ per atom.